## one
Ga2Sn2Pb | GGA-PBEsol | relaxed

Crystal system: tetragonal
DOS at the Fermi energy, states/eV per atom: 0.44
Space group: P4/mbm, No. 127

Cell lengths 3.342, 8.490, 8.490 Å; angles 90.00, 90.00, 90.00 degrees
Atoms (fractional coordinates):
Ga (0.500, 0.349, 0.151)
Ga (0.500, 0.151, 0.651)
Sn (0.000, 0.356, 0.856)
Sn (0.000, 0.644, 0.144)
Ga (0.500, 0.651, 0.849)
Sn (0.000, 0.144, 0.356)
Ga (0.500, 0.849, 0.349)
Sn (0.000, 0.856, 0.644)
Pb (0.000, 0.000, 0.000)
Pb (0.000, 0.500, 0.500)

***

## two
Ga2Sn2Pb | GGA-PBEsol | relaxed

Crystal system: tetragonal
DOS at the Fermi energy, states/eV per atom: 0.51
Space group: I4/mmm, No. 139

Cell lengths 3.937, 3.937, 8.354 Å; angles 103.63, 103.63, 90.00 degrees
Atoms (fractional coordinates):
Ga (0.750, 0.250, 0.500)
Sn (0.386, 0.386, 0.773)
Pb (0.000, 0.000, 0.000)
Ga (0.250, 0.750, 0.500)
Sn (0.614, 0.614, 0.227)

***

Relative to the most stable structure, the computed energies are one 0.000; two 0.017, all in eV/atom.

***

## one
Ga2SnPb2 | GGA-PBEsol | relaxed

Crystal system: tetragonal
DOS at the Fermi energy, states/eV per atom: 0.56
Space group: I4/mmm, No. 139

Cell lengths 3.722, 3.722, 9.486 Å; angles 101.31, 101.31, 90.00 degrees
Atoms (fractional coordinates):
Ga (0.250, 0.750, 0.500)
Sn (0.000, 0.000, 0.000)
Pb (0.611, 0.611, 0.221)
Ga (0.750, 0.250, 0.500)
Pb (0.389, 0.389, 0.779)

***

## two
Ga2SnPb2 | GGA-PBEsol | relaxed

Crystal system: tetragonal
DOS at the Fermi energy, states/eV per atom: 0.42
Space group: P4/mbm, No. 127

Cell lengths 4.651, 7.311, 7.311 Å; angles 90.00, 90.00, 90.00 degrees
Atoms (fractional coordinates):
Pb (0.500, 0.184, 0.684)
Ga (0.000, 0.376, 0.876)
Sn (0.000, 0.500, 0.500)
Pb (0.500, 0.684, 0.816)
Sn (0.000, 0.000, 0.000)
Ga (0.000, 0.624, 0.124)
Pb (0.500, 0.816, 0.316)
Ga (0.000, 0.876, 0.624)
Ga (0.000, 0.124, 0.376)
Pb (0.500, 0.316, 0.184)

***

Relative to the most stable structure, the computed energies are one 0.035; two 0.000, all in eV/atom.

***

## one
Tl2Ga2Pb | GGA-PBEsol | relaxed

Crystal system: tetragonal
DOS at the Fermi energy, states/eV per atom: 0.61
Space group: I4/mmm, No. 139

Cell lengths 3.713, 3.713, 9.602 Å; angles 101.15, 101.15, 90.00 degrees
Atoms (fractional coordinates):
Ga (0.750, 0.250, 0.500)
Tl (0.388, 0.388, 0.775)
Pb (0.000, 0.000, 0.000)
Tl (0.612, 0.612, 0.225)
Ga (0.250, 0.750, 0.500)

***

## two
Tl2Ga2Pb | GGA-PBEsol | relaxed

Crystal system: tetragonal
DOS at the Fermi energy, states/eV per atom: 0.48
Space group: P4/mbm, No. 127

Cell lengths 4.436, 7.514, 7.514 Å; angles 90.00, 90.00, 90.00 degrees
Atoms (fractional coordinates):
Tl (0.500, 0.322, 0.178)
Pb (0.000, 0.000, 0.000)
Tl (0.500, 0.178, 0.678)
Tl (0.500, 0.822, 0.322)
Ga (0.000, 0.878, 0.622)
Tl (0.500, 0.678, 0.822)
Ga (0.000, 0.622, 0.122)
Ga (0.000, 0.378, 0.878)
Pb (0.000, 0.500, 0.500)
Ga (0.000, 0.122, 0.378)

***

Relative to the most stable structure, the computed energies are one 0.018; two 0.000, all in eV/atom.

***

## one
GaTc3Pd | GGA-PBEsol | relaxed

Crystal system: cubic
DOS at the Fermi energy, states/eV per atom: 1.92
Space group: Pm-3m, No. 221

Cell lengths 4.615, 4.615, 4.615 Å; angles 90.00, 90.00, 90.00 degrees
Atoms (fractional coordinates):
Pd (0.000, 0.000, 0.000)
Tc (0.000, 0.000, 0.500)
Tc (0.000, 0.500, 0.000)
Tc (0.500, 0.000, 0.000)
Ga (0.500, 0.500, 0.500)

***

## two
GaTc3Pd | GGA-PBEsol | relaxed

Crystal system: cubic
DOS at the Fermi energy, states/eV per atom: 1.46
Space group: Pm-3m, No. 221

Cell lengths 4.414, 4.414, 4.414 Å; angles 90.00, 90.00, 90.00 degrees
Atoms (fractional coordinates):
Ga (0.000, 0.000, 0.000)
Tc (0.000, 0.000, 0.500)
Tc (0.000, 0.500, 0.000)
Pd (0.500, 0.500, 0.500)
Tc (0.500, 0.000, 0.000)

***

Relative to the most stable structure, the computed energies are one 0.493; two 0.000, all in eV/atom.

***

## one
Zn2GaRh2 | GGA-PBEsol | relaxed

Crystal system: tetragonal
DOS at the Fermi energy, states/eV per atom: 0.30
Space group: P4/mbm, No. 127

Cell lengths 3.712, 6.271, 6.271 Å; angles 90.00, 90.00, 90.00 degrees
Atoms (fractional coordinates):
Ga (0.000, 0.000, 0.000)
Rh (0.000, 0.649, 0.149)
Zn (0.500, 0.651, 0.849)
Rh (0.000, 0.351, 0.851)
Ga (0.000, 0.500, 0.500)
Rh (0.000, 0.851, 0.649)
Rh (0.000, 0.149, 0.351)
Zn (0.500, 0.849, 0.349)
Zn (0.500, 0.151, 0.651)
Zn (0.500, 0.349, 0.151)

***

## two
Zn2GaRh2 | GGA-PBEsol | relaxed

Crystal system: tetragonal
DOS at the Fermi energy, states/eV per atom: 0.90
Space group: I4/mmm, No. 139

Cell lengths 3.694, 3.694, 6.333 Å; angles 106.96, 106.96, 90.00 degrees
Atoms (fractional coordinates):
Ga (0.000, 0.000, 0.000)
Zn (0.602, 0.602, 0.204)
Rh (0.750, 0.250, 0.500)
Rh (0.250, 0.750, 0.500)
Zn (0.398, 0.398, 0.796)

***

Relative to the most stable structure, the computed energies are one 0.000; two 0.589, all in eV/atom.

***

## one
GaSe2S | GGA-PBEsol | relaxed

Crystal system: trigonal
DOS at the Fermi energy, states/eV per atom: 0.37
Space group: R-3m, No. 166

Cell lengths 3.421, 3.421, 8.894 Å; angles 78.91, 78.91, 60.00 degrees
Atoms (fractional coordinates):
Se (0.896, 0.896, 0.313)
Se (0.104, 0.104, 0.687)
Ga (0.000, 0.000, 0.000)
S (0.500, 0.500, 0.500)

***

## two
GaSe2S | GGA-PBEsol | relaxed

Crystal system: tetragonal
DOS at the Fermi energy, states/eV per atom: 0.82
Space group: I-42d, No. 122

Cell lengths 6.178, 6.178, 6.178 Å; angles 99.68, 114.58, 114.58 degrees
Atoms (fractional coordinates):
Ga (0.000, 0.000, 0.000)
Ga (0.500, 0.750, 0.250)
Se (0.983, 0.108, 0.625)
S (0.000, 0.500, 0.500)
Se (0.017, 0.642, 0.125)
S (0.500, 0.250, 0.750)
Se (0.517, 0.875, 0.892)
Se (0.483, 0.375, 0.358)

***

Relative to the most stable structure, the computed energies are one 0.205; two 0.000, all in eV/atom.